Record 1
Density functional theory data (PBE) for a geometry-optimized Sm3In structure.

a b c (Å): 4.554 4.554 7.390
angles (deg): 107.95 107.95 90.00
Fractional coordinates of all 4 atoms:
Sm 0.769 0.769 0.539
Sm 0.500 0.500 0.000
Sm 0.231 0.231 0.461
In 0.000 0.000 0.000

Values from the calculation:
Total moment   0.51 μB per formula unit
Density   6.8 Mg/m³
ΔH_f (0 K)   1.22 eV per formula unit
Energy   -3.919 eV/atom
Crystal system   tetragonal
Polymorph energy (0 for the lowest one)   576.2 meV/atom
Space-group type   No. 139

Record 2
Density functional theory data (PBE) for a geometry-optimized PdPt2Au structure.

a b c (Å): 4.512 4.512 4.512
angles (deg): 60.00 60.00 60.00
Fractional coordinates of all 4 atoms:
Pt 0.250 0.250 0.250
Pt 0.750 0.750 0.750
Pd 0.000 0.000 0.000
Au 0.500 0.500 0.500

Values from the calculation:
Total moment   0.00 μB per formula unit
Density   17.7 Mg/m³
ΔH_f (0 K)   0.44 eV per formula unit
Energy   -5.029 eV/atom
Crystal system   cubic
Polymorph energy (0 for the lowest one)   98.5 meV/atom
Space-group type   No. 225

Record 3
Density functional theory data (PBE) for a geometry-optimized Tm4OsPt structure.

a b c (Å): 6.241 7.560 7.789
angles (deg): 114.43 108.29 100.31
Fractional coordinates of all 12 atoms:
Tm 0.357 0.950 0.651
Tm 0.794 0.701 0.651
Tm 0.206 0.299 0.349
Tm 0.643 0.050 0.349
Tm 0.009 0.237 0.875
Tm 0.366 0.638 0.875
Tm 0.634 0.362 0.125
Tm 0.991 0.763 0.125
Pt 0.387 0.637 0.275
Pt 0.613 0.363 0.725
Os 0.749 0.999 0.998
Os 0.251 0.001 0.002

Values from the calculation:
Total moment   0.00 μB per formula unit
Density   11.9 Mg/m³
ΔH_f (0 K)   -4.00 eV per formula unit
Energy   -6.526 eV/atom
Crystal system   monoclinic
Polymorph energy (0 for the lowest one)   0.0 meV/atom
Space-group type   No. 15

Record 4
Density functional theory data (PBE) for a geometry-optimized V2Fe2Sb structure.

a b c (Å): 6.937 6.937 2.856
angles (deg): 90.00 90.00 90.00
Fractional coordinates of all 10 atoms:
Fe 0.370 0.870 0.000
Fe 0.630 0.130 0.000
Fe 0.130 0.370 0.000
Fe 0.870 0.630 0.000
V 0.155 0.655 0.500
V 0.845 0.345 0.500
V 0.655 0.845 0.500
V 0.345 0.155 0.500
Sb 0.000 0.000 0.000
Sb 0.500 0.500 0.000

Values from the calculation:
Total moment   0.00 μB per formula unit
Density   8.1 Mg/m³
Energy   -7.787 eV/atom
Crystal system   tetragonal
Raw formation energy   6.7 kJ/mol of atoms
Space-group type   No. 127

Record 5
Density functional theory data (PBE) for a geometry-optimized Np2IrOs structure.

a b c (Å): 4.802 4.802 4.802
angles (deg): 60.00 60.00 60.00
Fractional coordinates of all 4 atoms:
Np 0.250 0.250 0.250
Np 0.750 0.750 0.750
Ir 0.500 0.500 0.500
Os 0.000 0.000 0.000

Values from the calculation:
Total moment   6.34 μB per formula unit
Density   18.2 Mg/m³
ΔH_f (0 K)   -0.12 eV per formula unit
Energy   -11.522 eV/atom
Crystal system   cubic
Polymorph energy (0 for the lowest one)   5.3 meV/atom
Space-group type   No. 225

Record 6
Density functional theory data (PBE) for a geometry-optimized Mg2TeOs2 structure.

a b c (Å): 8.123 8.123 2.758
angles (deg): 90.00 90.00 90.00
Fractional coordinates of all 10 atoms:
Mg 0.123 0.377 0.000
Mg 0.377 0.877 0.000
Mg 0.877 0.623 0.000
Mg 0.623 0.123 0.000
Te 0.500 0.500 0.000
Te 0.000 0.000 0.000
Os 0.827 0.327 0.500
Os 0.673 0.827 0.500
Os 0.173 0.673 0.500
Os 0.327 0.173 0.500

Values from the calculation:
Total moment   0.00 μB per formula unit
Density   10.2 Mg/m³
Energy   -5.047 eV/atom
Crystal system   tetragonal
Polymorph energy (0 for the lowest one)   450.1 meV/atom
Raw formation energy   68.6 kJ/mol of atoms
Space-group type   No. 127

Record 7
Density functional theory data (PBE) for a geometry-optimized IrRh2Br2 structure.

a b c (Å): 3.499 3.499 8.149
angles (deg): 77.60 77.60 90.00
Fractional coordinates of all 5 atoms:
Rh 0.750 0.250 0.500
Rh 0.250 0.750 0.500
Ir 0.000 0.000 0.000
Br 0.602 0.602 0.796
Br 0.398 0.398 0.204

Values from the calculation:
Total moment   0.07 μB per formula unit
Density   9.7 Mg/m³
Energy   -4.223 eV/atom
Crystal system   tetragonal
Polymorph energy (0 for the lowest one)   133.0 meV/atom
Raw formation energy   111.8 kJ/mol of atoms
Space-group type   No. 139

Record 8
Density functional theory data (PBE) for a geometry-optimized Cs2TlGaHg6 structure.

a b c (Å): 8.361 7.807 8.326
angles (deg): 65.69 53.00 90.36
Fractional coordinates of all 10 atoms:
Hg 0.255 0.764 0.922
Hg 0.318 0.247 0.510
Hg 0.682 0.753 0.490
Hg 0.756 0.657 0.101
Hg 0.244 0.343 0.899
Hg 0.745 0.236 0.078
Ga 0.000 0.000 0.000
Cs 0.215 0.788 0.433
Cs 0.785 0.212 0.567
Tl 0.500 0.500 0.000

Values from the calculation:
Total moment   0.00 μB per formula unit
Density   7.8 Mg/m³
ΔH_f (0 K)   -1.36 eV per formula unit
Energy   -1.027 eV/atom
Crystal system   triclinic
Space-group type   No. 2

Record 9
Density functional theory data (PBE) for a geometry-optimized Nd2MnSi2 structure.

a b c (Å): 2.990 2.990 14.005
angles (deg): 90.00 90.00 90.00
Fractional coordinates of all 5 atoms:
Si 0.500 0.500 0.170
Si 0.500 0.500 0.830
Mn 0.500 0.500 0.000
Nd 0.500 0.500 0.624
Nd 0.500 0.500 0.376

Values from the calculation:
Total moment   3.53 μB per formula unit
Density   5.3 Mg/m³
Energy   -5.076 eV/atom
Crystal system   tetragonal
Raw formation energy   80.5 kJ/mol of atoms
Space-group type   No. 123

Record 10
Density functional theory data (PBE) for a geometry-optimized CaErAl structure.

a b c (Å): 3.495 5.199 5.199
angles (deg): 120.00 90.00 90.00
Fractional coordinates of all 3 atoms:
Er 0.384 0.333 0.667
Al 0.657 0.667 0.333
Ca 0.959 0.000 0.000

Values from the calculation:
Total moment   0.00 μB per formula unit
Density   4.8 Mg/m³
ΔH_f (0 K)   -0.08 eV per formula unit
Energy   -3.463 eV/atom
Crystal system   trigonal
Polymorph energy (0 for the lowest one)   136.9 meV/atom
Space-group type   No. 156

Record 11
Density functional theory data (PBE) for a geometry-optimized Ac2Ni2Pb structure.

a b c (Å): 4.067 4.232 7.960
angles (deg): 105.42 90.00 90.00
Fractional coordinates of all 5 atoms:
Ni 0.000 0.793 0.585
Ni 0.000 0.207 0.415
Ac 0.500 0.362 0.724
Ac 0.500 0.638 0.276
Pb 0.000 0.000 0.000

Values from the calculation:
Total moment   0.00 μB per formula unit
Density   9.8 Mg/m³
ΔH_f (0 K)   -1.90 eV per formula unit
Energy   -5.078 eV/atom
Crystal system   orthorhombic
Polymorph energy (0 for the lowest one)   0.0 meV/atom
Space-group type   No. 65

Record 12
Density functional theory data (PBE) for a geometry-optimized Er7AgRh4 structure.

a b c (Å): 5.324 8.322 7.281
angles (deg): 75.32 68.56 71.34
Fractional coordinates of all 12 atoms:
Rh 0.295 0.346 0.064
Rh 0.705 0.654 0.936
Rh 0.567 0.221 0.645
Rh 0.433 0.779 0.355
Er 0.074 0.638 0.214
Er 0.322 0.627 0.728
Er 0.788 0.877 0.547
Er 0.500 0.000 0.000
Er 0.678 0.373 0.272
Er 0.212 0.123 0.453
Er 0.926 0.362 0.786
Ag 0.000 0.000 0.000

Values from the calculation:
Total moment   0.00 μB per formula unit
Density   10.0 Mg/m³
ΔH_f (0 K)   -6.16 eV per formula unit
Energy   -5.863 eV/atom
Crystal system   monoclinic
Space-group type   No. 12